# K2CrGe2

A relaxed structure of K2CrGe2 (PBE-GGA, Alexandria).

Geometry as CIF:
```
data_K2CrGe2
_chemical_formula_sum 'K4 Cr2 Ge4'
_space_group_name_H-M_alt 'P 4/m b m'
_space_group_IT_number 127
_space_group_name_Hall '-P 4 2ab'
_cell_length_a 6.875
_cell_length_b 6.875
_cell_length_c 5.874
_cell_angle_alpha 90.00
_cell_angle_beta 90.00
_cell_angle_gamma 90.00
loop_
_atom_site_label
_atom_site_type_symbol
_atom_site_fract_x
_atom_site_fract_y
_atom_site_fract_z
K1 K 0.160 0.340 0.000
Cr1 Cr 0.000 0.000 0.500
Ge1 Ge 0.201 0.701 0.500
```

The formation energy is 0.27 eV/atom.

=====

# K2CrGe2

A relaxed structure of K2CrGe2 (PBE-GGA, Alexandria).

Geometry as CIF:
```
data_K2CrGe2
_chemical_formula_sum 'K4 Cr2 Ge4'
_space_group_name_H-M_alt 'I 4/m m m'
_space_group_IT_number 139
_space_group_name_Hall '-I 4 2'
_cell_length_a 3.761
_cell_length_b 3.761
_cell_length_c 22.724
_cell_angle_alpha 90.00
_cell_angle_beta 90.00
_cell_angle_gamma 90.00
loop_
_atom_site_label
_atom_site_type_symbol
_atom_site_fract_x
_atom_site_fract_y
_atom_site_fract_z
K1 K 0.000 0.000 0.116
Cr1 Cr 0.000 0.000 0.500
Ge1 Ge 0.000 0.500 0.250
```

The formation energy is 0.58 eV/atom.

=====

# KCrGe2

A relaxed structure of KCrGe2 (PBE-GGA, Alexandria).

Geometry as CIF:
```
data_KCrGe2
_chemical_formula_sum 'K4 Cr4 Ge8'
_space_group_name_H-M_alt 'I 41/a m d'
_space_group_IT_number 141
_cell_length_a 5.548
_cell_length_b 5.548
_cell_length_c 15.600
_cell_angle_alpha 90.00
_cell_angle_beta 90.00
_cell_angle_gamma 90.00
loop_
_space_group_symop_operation_xyz
'x,y,z'
'-x,-y,-z'
'-y+1/4,x+3/4,z+1/4'
'y+1/4,-x+3/4,-z+1/4'
'-x+1/2,-y,z+1/2'
'x+1/2,y,-z+1/2'
'y+1/4,-x+1/4,z+3/4'
'-y+1/4,x+1/4,-z+3/4'
'x,-y,-z'
'-x,y,z'
'-y+1/4,-x+1/4,-z+3/4'
'y+1/4,x+1/4,z+3/4'
'-x+1/2,y,-z+1/2'
'x+1/2,-y,z+1/2'
'y+1/4,x+3/4,-z+1/4'
'-y+1/4,-x+3/4,z+1/4'
'x+1/2,y+1/2,z+1/2'
'-x+1/2,-y+1/2,-z+1/2'
'-y+3/4,x+1/4,z+3/4'
'y+3/4,-x+1/4,-z+3/4'
'-x,-y+1/2,z'
'x,y+1/2,-z'
'y+3/4,-x+3/4,z+1/4'
'-y+3/4,x+3/4,-z+1/4'
'x+1/2,-y+1/2,-z+1/2'
'-x+1/2,y+1/2,z+1/2'
'-y+3/4,-x+3/4,-z+1/4'
'y+3/4,x+3/4,z+1/4'
'-x,y+1/2,-z'
'x,-y+1/2,z'
'y+3/4,x+1/4,-z+3/4'
'-y+3/4,-x+1/4,z+3/4'
loop_
_atom_site_label
_atom_site_type_symbol
_atom_site_fract_x
_atom_site_fract_y
_atom_site_fract_z
K1 K 0.000 0.250 0.375
Cr1 Cr 0.000 0.250 0.875
Ge1 Ge 0.000 0.000 0.000
```

The formation energy is 0.27 eV/atom.

=====

Values for VASP energy, eV per atom, ordered as above
-3.94; -3.63; -4.72